--- i ---
A plane-wave DFT calculation with PBE was carried out for an optimized crystal structure of Tc2AgAu.

Structure (CIF):
```
data_Tc2AgAu
_chemical_formula_sum 'Tc2 Ag1 Au1'
_cell_length_a 3.786
_cell_length_b 3.786
_cell_length_c 4.464
_cell_angle_alpha 90.00
_cell_angle_beta 90.00
_cell_angle_gamma 90.00
_symmetry_space_group_name_H-M 'P 1'
_symmetry_Int_Tables_number 1
_symmetry_space_group_name_Hall 'P 1'
loop_
_atom_site_label
_atom_site_type_symbol
_atom_site_fract_x
_atom_site_fract_y
_atom_site_fract_z
Tc1 Tc 0.000 0.500 0.000
Tc2 Tc 0.500 0.000 0.000
Ag1 Ag 0.000 0.000 0.500
Au1 Au 0.500 0.500 0.500
```

--- ii ---
A plane-wave DFT calculation with PBE was carried out for an optimized crystal structure of Tc2AgAu.

Structure (CIF):
```
data_Tc2AgAu
_chemical_formula_sum 'Tc2 Ag1 Au1'
_cell_length_a 2.743
_cell_length_b 2.743
_cell_length_c 9.719
_cell_angle_alpha 90.00
_cell_angle_beta 90.00
_cell_angle_gamma 115.88
_symmetry_space_group_name_H-M 'P 1'
_symmetry_Int_Tables_number 1
_symmetry_space_group_name_Hall 'P 1'
loop_
_atom_site_label
_atom_site_type_symbol
_atom_site_fract_x
_atom_site_fract_y
_atom_site_fract_z
Tc1 Tc 0.000 0.000 0.000
Tc2 Tc 0.500 0.500 0.216
Ag1 Ag 0.500 0.500 0.741
Au1 Au 0.000 0.000 0.477
```

--- iii ---
A plane-wave DFT calculation with PBE was carried out for an optimized crystal structure of Tc2AgAu.

Structure (CIF):
```
data_Tc2AgAu
_chemical_formula_sum 'Tc2 Ag1 Au1'
_cell_length_a 9.733
_cell_length_b 9.733
_cell_length_c 9.733
_cell_angle_alpha 16.52
_cell_angle_beta 16.52
_cell_angle_gamma 16.52
_symmetry_space_group_name_H-M 'P 1'
_symmetry_Int_Tables_number 1
_symmetry_space_group_name_Hall 'P 1'
loop_
_atom_site_label
_atom_site_type_symbol
_atom_site_fract_x
_atom_site_fract_y
_atom_site_fract_z
Tc1 Tc 0.000 0.000 0.000
Tc2 Tc 0.263 0.263 0.263
Ag1 Ag 0.754 0.754 0.754
Au1 Au 0.510 0.510 0.510
```

--- iv ---
A plane-wave DFT calculation with PBE was carried out for an optimized crystal structure of Tc2AgAu.

Structure (CIF):
```
data_Tc2AgAu
_chemical_formula_sum 'Tc2 Ag1 Au1'
_cell_length_a 5.210
_cell_length_b 5.210
_cell_length_c 2.680
_cell_angle_alpha 90.10
_cell_angle_beta 90.10
_cell_angle_gamma 118.31
_symmetry_space_group_name_H-M 'P 1'
_symmetry_Int_Tables_number 1
_symmetry_space_group_name_Hall 'P 1'
loop_
_atom_site_label
_atom_site_type_symbol
_atom_site_fract_x
_atom_site_fract_y
_atom_site_fract_z
Tc1 Tc 0.000 0.500 0.000
Tc2 Tc 0.500 0.000 0.000
Ag1 Ag 0.000 0.000 0.500
Au1 Au 0.500 0.500 0.500
```

iii comes first in stability; the runner-up is 16.4 kJ/mol of atoms higher.

--- i ---
A plane-wave DFT calculation with PBE was carried out for an optimized crystal structure of Tc2Ag2Au.

Structure (CIF):
```
data_Tc2Ag2Au
_chemical_formula_sum 'Tc2 Ag2 Au1'
_cell_length_a 8.007
_cell_length_b 8.007
_cell_length_c 8.007
_cell_angle_alpha 155.07
_cell_angle_beta 155.07
_cell_angle_gamma 35.55
_symmetry_space_group_name_H-M 'P 1'
_symmetry_Int_Tables_number 1
_symmetry_space_group_name_Hall 'P 1'
loop_
_atom_site_label
_atom_site_type_symbol
_atom_site_fract_x
_atom_site_fract_y
_atom_site_fract_z
Tc1 Tc 0.250 0.750 0.500
Tc2 Tc 0.750 0.250 0.500
Ag1 Ag 0.098 0.098 0.000
Ag2 Ag 0.902 0.902 0.000
Au1 Au 0.500 0.500 0.000
```

--- ii ---
A plane-wave DFT calculation with PBE was carried out for an optimized crystal structure of Tc2Ag2Au.

Structure (CIF):
```
data_Tc2Ag2Au
_chemical_formula_sum 'Tc4 Ag4 Au2'
_cell_length_a 8.139
_cell_length_b 8.139
_cell_length_c 2.745
_cell_angle_alpha 90.00
_cell_angle_beta 90.00
_cell_angle_gamma 90.00
_symmetry_space_group_name_H-M 'P 1'
_symmetry_Int_Tables_number 1
_symmetry_space_group_name_Hall 'P 1'
loop_
_atom_site_label
_atom_site_type_symbol
_atom_site_fract_x
_atom_site_fract_y
_atom_site_fract_z
Tc1 Tc 0.097 0.403 0.000
Tc2 Tc 0.403 0.903 0.000
Tc3 Tc 0.597 0.097 0.000
Tc4 Tc 0.903 0.597 0.000
Ag1 Ag 0.194 0.694 0.500
Ag2 Ag 0.306 0.194 0.500
Ag3 Ag 0.694 0.806 0.500
Ag4 Ag 0.806 0.306 0.500
Au1 Au 0.000 0.000 0.500
Au2 Au 0.500 0.500 0.500
```

i comes first in stability; the runner-up is 14.1 kJ/mol of atoms higher.

--- i ---
A plane-wave DFT calculation with PBE was carried out for an optimized crystal structure of AgTe2Au.

Structure (CIF):
```
data_AgTe2Au
_chemical_formula_sum 'Ag1 Te2 Au1'
_cell_length_a 3.201
_cell_length_b 4.040
_cell_length_c 8.082
_cell_angle_alpha 90.00
_cell_angle_beta 93.32
_cell_angle_gamma 90.00
_symmetry_space_group_name_H-M 'P 1'
_symmetry_Int_Tables_number 1
_symmetry_space_group_name_Hall 'P 1'
loop_
_atom_site_label
_atom_site_type_symbol
_atom_site_fract_x
_atom_site_fract_y
_atom_site_fract_z
Ag1 Ag 0.000 0.000 0.000
Te1 Te 0.064 0.500 0.742
Te2 Te 0.936 0.500 0.258
Au1 Au 0.000 0.000 0.500
```

--- ii ---
A plane-wave DFT calculation with PBE was carried out for an optimized crystal structure of AgTe2Au.

Structure (CIF):
```
data_AgTe2Au
_chemical_formula_sum 'Ag1 Te2 Au1'
_cell_length_a 4.107
_cell_length_b 4.157
_cell_length_c 5.803
_cell_angle_alpha 90.00
_cell_angle_beta 90.00
_cell_angle_gamma 90.00
_symmetry_space_group_name_H-M 'P 1'
_symmetry_Int_Tables_number 1
_symmetry_space_group_name_Hall 'P 1'
loop_
_atom_site_label
_atom_site_type_symbol
_atom_site_fract_x
_atom_site_fract_y
_atom_site_fract_z
Ag1 Ag 0.000 0.000 0.000
Te1 Te 0.000 0.000 0.500
Te2 Te 0.500 0.500 0.000
Au1 Au 0.500 0.500 0.500
```

ii comes first in stability; the runner-up is 4.6 kJ/mol of atoms higher.

--- i ---
A plane-wave DFT calculation with PBE was carried out for an optimized crystal structure of AgTe2Au.

Structure (CIF):
```
data_AgTe2Au
_chemical_formula_sum 'Ag2 Te4 Au2'
_cell_length_a 4.776
_cell_length_b 4.991
_cell_length_c 8.967
_cell_angle_alpha 90.00
_cell_angle_beta 90.10
_cell_angle_gamma 90.00
_symmetry_space_group_name_H-M 'P 1'
_symmetry_Int_Tables_number 1
_symmetry_space_group_name_Hall 'P 1'
loop_
_atom_site_label
_atom_site_type_symbol
_atom_site_fract_x
_atom_site_fract_y
_atom_site_fract_z
Ag1 Ag 0.000 0.000 0.000
Ag2 Ag 0.000 0.000 0.500
Te1 Te 0.182 0.500 0.250
Te2 Te 0.323 0.000 0.750
Te3 Te 0.677 0.000 0.250
Te4 Te 0.818 0.500 0.750
Au1 Au 0.500 0.500 0.000
Au2 Au 0.500 0.500 0.500
```

--- ii ---
A plane-wave DFT calculation with PBE was carried out for an optimized crystal structure of AgTe2Au.

Structure (CIF):
```
data_AgTe2Au
_chemical_formula_sum 'Ag1 Te2 Au1'
_cell_length_a 3.159
_cell_length_b 3.159
_cell_length_c 10.211
_cell_angle_alpha 90.00
_cell_angle_beta 90.00
_cell_angle_gamma 100.87
_symmetry_space_group_name_H-M 'P 1'
_symmetry_Int_Tables_number 1
_symmetry_space_group_name_Hall 'P 1'
loop_
_atom_site_label
_atom_site_type_symbol
_atom_site_fract_x
_atom_site_fract_y
_atom_site_fract_z
Ag1 Ag 0.000 0.000 0.000
Te1 Te 0.000 0.000 0.416
Te2 Te 0.500 0.500 0.778
Au1 Au 0.500 0.500 0.194
```

i comes first in stability; the runner-up is 0.7 kJ/mol of atoms higher.